ErCu8Pd3: relaxed, PBE-GGA.

a = 4.9065 Å, b = 4.9065 Å, c = 7.9885 Å
α = 90.00°, β = 90.00°, γ = 120.00°
Fractional coordinates of all 12 atoms:
1 Cu 0.9930 0.4965 0.7578
2 Er 0.0000 0.0000 0.5661
3 Cu 0.5035 0.0070 0.7578
4 Pd 0.0000 0.0000 0.9388
5 Pd 0.6667 0.3333 0.4332
6 Cu 0.1644 0.8356 0.2421
7 Cu 0.6711 0.8356 0.2421
8 Cu 0.5035 0.4965 0.7578
9 Cu 0.3333 0.6667 0.9978
10 Cu 0.3333 0.6667 0.4987
11 Pd 0.6667 0.3333 0.0654
12 Cu 0.1644 0.3289 0.2421

Output
magnetization	0.00	μB/f.u.
symmetry	P3m1
energy of formation	-0.22	eV per atom
DOS at the Fermi energy	0.27	states/eV per atom